--- a ---
K3BaSe: relaxed, PBE.

Unit cell a=7.4716 b=7.4716 c=7.4716 alpha=90.00 beta=90.00 gamma=90.00
Closest atoms and distances in Å follow each position.
Fractional positions:
K  0.0000  0.5000  0.0000  2 Ba 3.74
K  0.0000  0.0000  0.5000  2 Ba 3.74
K  0.5000  0.0000  0.0000  2 Ba 3.74
Ba  0.0000  0.0000  0.0000  6 K 3.74
Se  0.5000  0.5000  0.5000  12 K 5.28

Crystal system: cubic
Magnetic moment, μB per atom: 0.20

***

--- b ---
K3BaSe: relaxed, PBE.

Unit cell a=6.5129 b=6.5129 c=6.5129 alpha=90.00 beta=90.00 gamma=90.00
Closest atoms and distances in Å follow each position.
Fractional positions:
K  0.0000  0.5000  0.0000  2 Se 3.26
K  0.0000  0.0000  0.5000  2 Se 3.26
K  0.5000  0.0000  0.0000  2 Se 3.26
Ba  0.5000  0.5000  0.5000  12 K 4.61
Se  0.0000  0.0000  0.0000  6 K 3.26

Crystal system: cubic
Magnetic moment, μB per atom: 0.20

***

Which is most stable, and by how much? b, by 0.992 eV/atom.

***

--- a ---
KBa3Se: relaxed, PBE.

Unit cell a=6.5891 b=6.5891 c=6.5891 alpha=90.00 beta=90.00 gamma=90.00
Closest atoms and distances in Å follow each position.
Fractional positions:
K  0.5000  0.5000  0.5000  12 Ba 4.66
Ba  0.0000  0.5000  0.0000  2 Se 3.29
Ba  0.0000  0.0000  0.5000  2 Se 3.29
Ba  0.5000  0.0000  0.0000  2 Se 3.29
Se  0.0000  0.0000  0.0000  6 Ba 3.29

Crystal system: cubic
Magnetic moment, μB per atom: 0.00

***

--- b ---
KBa3Se: relaxed, PBE.

Unit cell a=6.6886 b=6.6886 c=6.6886 alpha=90.00 beta=90.00 gamma=90.00
Closest atoms and distances in Å follow each position.
Fractional positions:
K  0.0000  0.0000  0.0000  6 Ba 3.34
Ba  0.0000  0.5000  0.0000  2 K 3.34
Ba  0.0000  0.0000  0.5000  2 K 3.34
Ba  0.5000  0.0000  0.0000  2 K 3.34
Se  0.5000  0.5000  0.5000  12 Ba 4.73

Crystal system: cubic
Magnetic moment, μB per atom: 0.59

***

Which is most stable, and by how much? a, by 1.151 eV/atom.

***

--- a ---
KBa2Se2: relaxed, PBE.

Unit cell a=9.3359 b=9.3359 c=4.0709 alpha=90.00 beta=90.00 gamma=90.00
Closest atoms and distances in Å follow each position.
Fractional positions:
K  0.0000  0.0000  0.0000  4 Ba 3.60
K  0.5000  0.5000  0.0000  4 Ba 3.60
Ba  0.3596  0.8596  0.0000  6 Se 3.34-3.46, 2 K 3.60, 1 Ba 3.71
Ba  0.8596  0.6404  0.0000  6 Se 3.34-3.46, 2 K 3.60, 1 Ba 3.71
Ba  0.6404  0.1404  0.0000  6 Se 3.34-3.46, 2 K 3.60, 1 Ba 3.71
Ba  0.1404  0.3596  0.0000  6 Se 3.34-3.46, 2 K 3.60, 1 Ba 3.71
Se  0.1590  0.6590  0.5000  6 Ba 3.34-3.46
Se  0.6590  0.8410  0.5000  6 Ba 3.34-3.46
Se  0.8410  0.3410  0.5000  6 Ba 3.34-3.46
Se  0.3410  0.1590  0.5000  6 Ba 3.34-3.46

Crystal system: tetragonal
Magnetic moment, μB per atom: 0.00

***

--- b ---
KBa2Se2: relaxed, PBE.

Unit cell a=8.9577 b=8.9577 c=4.4565 alpha=90.00 beta=90.00 gamma=90.00
Closest atoms and distances in Å follow each position.
Fractional positions:
K  0.0000  0.0000  0.0000  4 Se 3.39
K  0.5000  0.5000  0.0000  4 Se 3.39
Ba  0.1515  0.6515  0.5000  6 Se 3.32-3.53
Ba  0.6515  0.8485  0.5000  6 Se 3.32-3.53
Ba  0.8485  0.3485  0.5000  6 Se 3.32-3.53
Ba  0.3485  0.1515  0.5000  6 Se 3.32-3.53
Se  0.3462  0.8462  0.0000  6 Ba 3.32-3.53, 2 K 3.39
Se  0.8462  0.6538  0.0000  6 Ba 3.32-3.53, 2 K 3.39
Se  0.6538  0.1538  0.0000  6 Ba 3.32-3.53, 2 K 3.39
Se  0.1538  0.3462  0.0000  6 Ba 3.32-3.53, 2 K 3.39

Crystal system: tetragonal
Magnetic moment, μB per atom: 0.17

***

Which is most stable, and by how much? b, by 0.191 eV/atom.

***

--- a ---
K2BaSe2: relaxed, PBE.

Unit cell a=4.5869 b=4.5869 c=8.7438 alpha=74.79 beta=74.79 gamma=90.00
Closest atoms and distances in Å follow each position.
Fractional positions:
K  0.7500  0.2500  0.5000  4 Se 3.20, 4 K 3.24
K  0.2500  0.7500  0.5000  4 Se 3.20, 4 K 3.24
Ba  0.0000  0.0000  0.0000  8 Se 3.72
Se  0.3875  0.3875  0.2251  4 K 3.20
Se  0.6125  0.6125  0.7749  4 K 3.20

Crystal system: tetragonal
Magnetic moment, μB per atom: 0.00

***

--- b ---
K2BaSe2: relaxed, PBE.

Unit cell a=8.8663 b=8.8663 c=4.6215 alpha=90.00 beta=90.00 gamma=90.00
Closest atoms and distances in Å follow each position.
Fractional positions:
K  0.1257  0.6257  0.5000  1 K 3.15, 2 Se 3.35
K  0.6257  0.8743  0.5000  1 K 3.15, 2 Se 3.35
K  0.8743  0.3743  0.5000  1 K 3.15, 2 Se 3.35
K  0.3743  0.1257  0.5000  1 K 3.15, 2 Se 3.35
Ba  0.0000  0.0000  0.0000  4 Se 3.25
Ba  0.5000  0.5000  0.0000  4 Se 3.25
Se  0.3188  0.8188  0.0000  2 Ba 3.25, 6 K 3.35-3.60
Se  0.8188  0.6812  0.0000  2 Ba 3.25, 6 K 3.35-3.60
Se  0.6812  0.1812  0.0000  2 Ba 3.25, 6 K 3.35-3.60
Se  0.1812  0.3188  0.0000  2 Ba 3.25, 6 K 3.35-3.60

Crystal system: tetragonal
Magnetic moment, μB per atom: 0.00

***

Which is most stable, and by how much? b, by 0.034 eV/atom.

***

--- a ---
KBa2Sn2: relaxed, PBE.

Unit cell a=10.5792 b=10.5792 c=3.6684 alpha=90.00 beta=90.00 gamma=90.00
Closest atoms and distances in Å follow each position.
Fractional positions:
K  0.0000  0.0000  0.0000  2 K 3.67
K  0.5000  0.5000  0.0000  2 K 3.67
Ba  0.3737  0.8737  0.0000  6 Sn 3.54-3.67, 3 Ba 3.67-3.78
Ba  0.8737  0.6263  0.0000  6 Sn 3.54-3.67, 3 Ba 3.67-3.78
Ba  0.6263  0.1263  0.0000  6 Sn 3.54-3.67, 3 Ba 3.67-3.78
Ba  0.1263  0.3737  0.0000  6 Sn 3.54-3.67, 3 Ba 3.67-3.78
Sn  0.1710  0.6710  0.5000  6 Ba 3.54-3.67, 2 Sn 3.67
Sn  0.6710  0.8290  0.5000  6 Ba 3.54-3.67, 2 Sn 3.67
Sn  0.8290  0.3290  0.5000  6 Ba 3.54-3.67, 2 Sn 3.67
Sn  0.3290  0.1710  0.5000  6 Ba 3.54-3.67, 2 Sn 3.67

Crystal system: tetragonal
Magnetic moment, μB per atom: 0.00

***

--- b ---
KBa2Sn2: relaxed, PBE.

Unit cell a=5.8766 b=5.8766 c=8.0719 alpha=68.65 beta=68.65 gamma=90.00
Closest atoms and distances in Å follow each position.
Fractional positions:
K  0.0000  0.0000  0.0000  8 Sn 4.39, 8 Ba 4.54
Ba  0.7500  0.2500  0.5000  4 Sn 3.58
Ba  0.2500  0.7500  0.5000  4 Sn 3.58
Sn  0.3977  0.3977  0.2046  1 Sn 2.83
Sn  0.6023  0.6023  0.7954  1 Sn 2.83

Crystal system: tetragonal
Magnetic moment, μB per atom: 0.00

***

Which is most stable, and by how much? a, by 0.136 eV/atom.

***

--- a ---
KBa2Sn2: relaxed, PBE.

Unit cell a=9.3920 b=9.3920 c=4.8693 alpha=90.00 beta=90.00 gamma=90.00
Closest atoms and distances in Å follow each position.
Fractional positions:
K  0.0000  0.0000  0.0000  4 Sn 3.79
K  0.5000  0.5000  0.0000  4 Sn 3.79
Ba  0.1724  0.6724  0.5000  6 Sn 3.66-3.75
Ba  0.6724  0.8276  0.5000  6 Sn 3.66-3.75
Ba  0.8276  0.3276  0.5000  6 Sn 3.66-3.75
Ba  0.3276  0.1724  0.5000  6 Sn 3.66-3.75
Sn  0.3873  0.8873  0.0000  1 Sn 2.99
Sn  0.8873  0.6127  0.0000  1 Sn 2.99
Sn  0.6127  0.1127  0.0000  1 Sn 2.99
Sn  0.1127  0.3873  0.0000  1 Sn 2.99

Crystal system: tetragonal
Magnetic moment, μB per atom: 0.00

***

--- b ---
KBa2Sn2: relaxed, PBE.

Unit cell a=6.1736 b=6.1736 c=7.8535 alpha=66.86 beta=66.86 gamma=90.00
Closest atoms and distances in Å follow each position.
Fractional positions:
K  0.0000  0.0000  0.0000  8 Sn 4.49, 10 Ba 4.59-4.78
Ba  0.3514  0.3514  0.2972  4 Sn 3.36
Ba  0.6486  0.6486  0.7028  4 Sn 3.36
Sn  0.7500  0.2500  0.5000  4 Ba 3.36
Sn  0.2500  0.7500  0.5000  4 Ba 3.36

Crystal system: tetragonal
Magnetic moment, μB per atom: 0.00

***

Which is most stable, and by how much? a, by 0.348 eV/atom.

***

--- a ---
K3BaSn: relaxed, PBE.

Unit cell a=7.1494 b=7.1494 c=7.1494 alpha=90.00 beta=90.00 gamma=90.00
Closest atoms and distances in Å follow each position.
Fractional positions:
K  0.0000  0.5000  0.0000  2 Ba 3.57
K  0.0000  0.0000  0.5000  2 Ba 3.57
K  0.5000  0.0000  0.0000  2 Ba 3.57
Ba  0.0000  0.0000  0.0000  6 K 3.57
Sn  0.5000  0.5000  0.5000  12 K 5.06

Crystal system: cubic
Magnetic moment, μB per atom: 0.00

***

--- b ---
K3BaSn: relaxed, PBE.

Unit cell a=6.8443 b=6.8443 c=6.8443 alpha=90.00 beta=90.00 gamma=90.00
Closest atoms and distances in Å follow each position.
Fractional positions:
K  0.0000  0.5000  0.0000  2 Sn 3.42
K  0.0000  0.0000  0.5000  2 Sn 3.42
K  0.5000  0.0000  0.0000  2 Sn 3.42
Ba  0.5000  0.5000  0.5000  12 K 4.84
Sn  0.0000  0.0000  0.0000  6 K 3.42

Crystal system: cubic
Magnetic moment, μB per atom: 0.01

***

Which is most stable, and by how much? b, by 0.680 eV/atom.

***

--- a ---
K2BaSnTe4: relaxed, PBE.

Unit cell a=9.7208 b=9.7208 c=10.2547 alpha=121.83 beta=121.83 gamma=90.39
Closest atoms and distances in Å follow each position.
Fractional positions:
K  0.5000  0.0000  0.0000  6 Te 3.44-3.46
K  0.5000  0.0000  0.5000  6 Te 3.44-3.46
K  0.0000  0.0000  0.5000  6 Te 3.76-3.87
K  0.5000  0.5000  0.0000  6 Te 3.76-3.87
Ba  0.0000  0.5000  0.0000  6 Te 3.46-3.49
Ba  0.0000  0.5000  0.5000  6 Te 3.46-3.49
Sn  0.5000  0.5000  0.5000  6 Te 3.03-3.11
Sn  0.0000  0.0000  0.0000  6 Te 3.03-3.11
Te  0.2210  0.7818  0.0014  1 Sn 3.03
Te  0.7182  0.2790  0.4986  1 Sn 3.03
Te  0.2818  0.7210  0.5014  1 Sn 3.03
Te  0.7790  0.2182  0.9986  1 Sn 3.03
Te  0.7486  0.7514  0.9577  2 Sn 3.11, 1 K 3.46
Te  0.7486  0.7514  0.5423  2 Sn 3.11, 1 K 3.46
Te  0.2514  0.2486  0.4577  2 Sn 3.11, 1 K 3.46
Te  0.2514  0.2486  0.0423  2 Sn 3.11, 1 K 3.46

Crystal system: orthorhombic
Magnetic moment, μB per atom: 0.00

***

--- b ---
K2BaSnTe4: relaxed, PBE.

Unit cell a=7.3941 b=7.3941 c=7.3941 alpha=109.04 beta=109.04 gamma=110.33
Closest atoms and distances in Å follow each position.
Fractional positions:
K  0.5000  0.0000  0.5000  4 Te 3.52
K  0.0000  0.5000  0.5000  4 Te 3.52
Ba  0.5000  0.5000  0.0000  4 Te 3.47
Sn  0.0000  0.0000  0.0000  4 Te 2.82
Te  0.3819  0.3819  0.3797  1 Sn 2.82
Te  0.0023  0.0023  0.6203  1 Sn 2.82
Te  0.6181  0.9977  0.0000  1 Sn 2.82
Te  0.9977  0.6181  0.0000  1 Sn 2.82

Crystal system: tetragonal
Magnetic moment, μB per atom: 0.00

***

Which is most stable, and by how much? b, by 0.132 eV/atom.